[1]
# RbTa3Si | Alexandria | PBE | relaxed
# Space group ... Pm-3m (221)
# Energy above the lowest structure with this stoichiometry ... 1830 meV per atom
# Mass density ... 9.99 g cm⁻³
# DOS at the Fermi energy ... 2.99 states/eV per cell
# Raw total energy ... -25.52 eV per cell
# Crystal system ... cubic
data_RbTa3Si
_chemical_formula_sum 'Rb1 Ta3 Si1'
_cell_length_a 4.778
_cell_length_b 4.778
_cell_length_c 4.778
_cell_angle_alpha 90.00
_cell_angle_beta 90.00
_cell_angle_gamma 90.00
_space_group_name_H-M_alt 'P 1'
_space_group_IT_number 1
loop_
_space_group_symop_operation_xyz
'x,y,z'
loop_
_atom_site_label
_atom_site_type_symbol
_atom_site_fract_x
_atom_site_fract_y
_atom_site_fract_z
_atom_site_occupancy
Rb1 Rb 0.000 0.000 0.000 1
Ta1 Ta 0.000 0.000 0.500 1
Ta2 Ta 0.000 0.500 0.000 1
Ta3 Ta 0.500 0.000 0.000 1
Si1 Si 0.500 0.500 0.500 1

[2]
# RbTaSi3 | Alexandria | PBE | relaxed
# Space group ... Pm-3m (221)
# Energy above the lowest structure with this stoichiometry ... 2510 meV per atom
# Mass density ... 4.81 g cm⁻³
# DOS at the Fermi energy ... 4.65 states/eV per cell
# Raw total energy ... -15.16 eV per cell
# Crystal system ... cubic
data_RbTaSi3
_chemical_formula_sum 'Rb1 Ta1 Si3'
_cell_length_a 4.948
_cell_length_b 4.948
_cell_length_c 4.948
_cell_angle_alpha 90.00
_cell_angle_beta 90.00
_cell_angle_gamma 90.00
_space_group_name_H-M_alt 'P 1'
_space_group_IT_number 1
loop_
_space_group_symop_operation_xyz
'x,y,z'
loop_
_atom_site_label
_atom_site_type_symbol
_atom_site_fract_x
_atom_site_fract_y
_atom_site_fract_z
_atom_site_occupancy
Rb1 Rb 0.000 0.000 0.000 1
Ta1 Ta 0.500 0.500 0.500 1
Si1 Si 0.000 0.000 0.500 1
Si2 Si 0.000 0.500 0.000 1
Si3 Si 0.500 0.000 0.000 1

Question: Which of these has the highest DOS at the Fermi energy?
Answer: RbTaSi3

Question: Among the records above, which one has the lowest DOS at the Fermi energy?
Answer: RbTa3Si

Repeat the second record exactly.
# RbTaSi3 | Alexandria | PBE | relaxed
# Space group ... Pm-3m (221)
# Energy above the lowest structure with this stoichiometry ... 2510 meV per atom
# Mass density ... 4.81 g cm⁻³
# DOS at the Fermi energy ... 4.65 states/eV per cell
# Raw total energy ... -15.16 eV per cell
# Crystal system ... cubic
data_RbTaSi3
_chemical_formula_sum 'Rb1 Ta1 Si3'
_cell_length_a 4.948
_cell_length_b 4.948
_cell_length_c 4.948
_cell_angle_alpha 90.00
_cell_angle_beta 90.00
_cell_angle_gamma 90.00
_space_group_name_H-M_alt 'P 1'
_space_group_IT_number 1
loop_
_space_group_symop_operation_xyz
'x,y,z'
loop_
_atom_site_label
_atom_site_type_symbol
_atom_site_fract_x
_atom_site_fract_y
_atom_site_fract_z
_atom_site_occupancy
Rb1 Rb 0.000 0.000 0.000 1
Ta1 Ta 0.500 0.500 0.500 1
Si1 Si 0.000 0.000 0.500 1
Si2 Si 0.000 0.500 0.000 1
Si3 Si 0.500 0.000 0.000 1